An optimized crystal structure of Rb2LaMo3O12, computed with GGA+U.

M_tot   0.964 μB/f.u.
Symmetry   R-3m (166)
Energy   -6.70 eV/atom

a = 7.6583 Å, b = 7.6583 Å, c = 7.6583 Å
α = 59.14°, β = 59.14°, γ = 59.14°
Atoms (fractional coordinates):
Rb 0.1303 0.1303 0.1303
Rb 0.8697 0.8697 0.8697
La 0.5000 0.5000 0.5000
Mo 0.0000 0.5000 0.5000
Mo 0.5000 0.0000 0.5000
Mo 0.5000 0.5000 0.0000
O 0.1201 0.5900 0.5900
O 0.2080 0.2080 0.5699
O 0.2080 0.5699 0.2080
O 0.4100 0.4100 0.8799
O 0.4100 0.8799 0.4100
O 0.4301 0.7920 0.7920
O 0.5699 0.2080 0.2080
O 0.5900 0.1201 0.5900
O 0.5900 0.5900 0.1201
O 0.7920 0.4301 0.7920
O 0.7920 0.7920 0.4301
O 0.8799 0.4100 0.4100